First-principles (PBE) data for a geometry-optimized CrFeRu2 structure, as listed in Alexandria.

Its formation energy is 124 meV per atom. The value obtained for the total DFT energy (no corrections) is -0.66409 Ry per atom.

The space group is Pmmm (No. 47) and the conventional cell measures 2.6600, 3.6223 and 5.3377 Å, with angles of 90.00, 90.00 and 90.00 degrees. The asymmetric unit holds Cr at (0.0000, 0.0000, 0.0000), Fe at (0.0000, 0.0000, 0.5000) and Ru at (0.5000, 0.5000, 0.2490).